A plane-wave DFT calculation with PBE-GGA was carried out for an optimized crystal structure of Sb3PbO.

Properties
Electronic total energy   -13.62 eV per formula unit
Energy above the most stable polymorph in this dataset   1541 meV/atom
Total magnetic moment   0.00 μB/f.u.
E_form (uncorrected)   1483 meV per atom

Cell lengths 5.783, 5.783, 5.783 Å; angles 90.00, 90.00, 90.00 degrees
Element x y z (fractional)
Sb  0.000  0.000  0.500
Sb  0.000  0.500  0.000
Sb  0.500  0.000  0.000
Pb  0.000  0.000  0.000
O  0.500  0.500  0.500